# 1
Computed, not measured: a geometry-optimized TcSb2W structure at the PBE level of DFT.

Properties
E_form (uncorrected) = 0.8248 eV/atom
energy above the most stable polymorph in this dataset = 673 meV/atom
space-group type = F-43m (216)

Lattice parameters (Å, degrees): 4.759 4.759 4.759 60.00 60.00 60.00
Sites, in units of the cell vectors:
1 Tc 0.000 0.000 0.000
2 Sb 0.250 0.250 0.250
3 Sb 0.500 0.500 0.500
4 W 0.750 0.750 0.750

---

# 2
Computed, not measured: a geometry-optimized TcSbW4 structure at the PBE level of DFT.

Properties
E_form (uncorrected) = 0.6676 eV/atom
space-group type = F-43m (216)

Lattice parameters (Å, degrees): 5.297 5.297 5.297 60.00 60.00 60.00
Sites, in units of the cell vectors:
1 Tc 0.000 0.000 0.000
2 Sb 0.750 0.750 0.750
3 W 0.376 0.376 0.376
4 W 0.376 0.376 0.873
5 W 0.376 0.873 0.376
6 W 0.873 0.376 0.376

---

# 3
Computed, not measured: a geometry-optimized TcSb2W structure at the PBE level of DFT.

Properties
E_form (uncorrected) = 0.6952 eV/atom
energy above the most stable polymorph in this dataset = 544 meV/atom
space-group type = I-4m2 (119)

Lattice parameters (Å, degrees): 5.074 5.074 5.074 129.76 129.76 73.79
Sites, in units of the cell vectors:
1 Tc 0.000 0.000 0.000
2 Sb 0.500 0.500 0.000
3 Sb 0.750 0.250 0.500
4 W 0.250 0.750 0.500

---

# 4
Computed, not measured: a geometry-optimized TcSb3W structure at the PBE level of DFT.

Properties
E_form (uncorrected) = 1.3767 eV/atom
energy above the most stable polymorph in this dataset = 0 meV/atom
space-group type = Pm-3m (221)

Lattice parameters (Å, degrees): 5.221 5.221 5.221 90.00 90.00 90.00
Sites, in units of the cell vectors:
1 Tc 0.000 0.000 0.000
2 Sb 0.000 0.500 0.500
3 Sb 0.500 0.000 0.500
4 Sb 0.500 0.500 0.000
5 W 0.500 0.500 0.500

---

Number 1: total energy -28.26 eV/f.u., calculated density 11.44 Mg/m³. Number 2: total energy -62.30 eV/f.u., calculated density 15.09 Mg/m³. Number 3: total energy -28.78 eV/f.u., calculated density 11.59 Mg/m³. Number 4: total energy -28.80 eV/f.u., calculated density 7.55 Mg/m³.